! Hf6CoPb3, relaxed, DFT PBE; values from VASP
&SYSTEM
  ibrav = 0, nat = 20, ntyp = 3
/
ATOMIC_SPECIES
Hf 178.49 Hf.upf
Co 58.93 Co.upf
Pb 207.20 Pb.upf
CELL_PARAMETERS angstrom
5.088 0.000 0.000
0.000 8.870 -1.351
0.000 -1.138 10.008
ATOMIC_POSITIONS crystal
Hf 0.250 0.436 0.083
Hf 0.750 0.564 0.917
Hf 0.250 0.137 0.188
Hf 0.750 0.863 0.812
Hf 0.250 0.690 0.688
Hf 0.750 0.310 0.312
Hf 0.250 0.136 0.495
Hf 0.750 0.864 0.505
Hf 0.250 0.815 0.306
Hf 0.750 0.185 0.694
Hf 0.250 0.060 0.832
Hf 0.750 0.940 0.168
Co 0.250 0.906 0.584
Co 0.750 0.094 0.416
Pb 0.250 0.494 0.395
Pb 0.750 0.506 0.605
Pb 0.250 0.383 0.780
Pb 0.750 0.617 0.220
Pb 0.250 0.798 0.994
Pb 0.750 0.202 0.006
! volume: 443.8 Å³/cell
! DFT total energy: -7.780 eV per atom
! size of the total moment: 0.000 Bohr magnetons per cell
! calculated formation energy: 0.015 eV per atom